# Dy5Tl2C, optimized geometry, DFT GGA-PBE
data_Dy5Tl2C
_symmetry_space_group_name_H-M 'P 1'
_symmetry_Int_Tables_number 1
_symmetry_space_group_name_Hall 'P 1'
_cell_length_a 4.9537
_cell_length_b 8.5871
_cell_length_c 12.3283
_cell_angle_alpha 90.00
_cell_angle_beta 90.00
_cell_angle_gamma 106.76
loop_
_atom_site_label
_atom_site_fract_x
_atom_site_fract_y
_atom_site_fract_z
_atom_site_occupancy
Dy1 0.0908 0.1816 0.1106 1
Dy2 0.9092 0.8184 0.8894 1
Dy3 0.2932 0.5864 0.7500 1
Dy4 0.2932 0.5864 0.0885 1
Dy5 0.7068 0.4136 0.9115 1
Dy6 0.7068 0.4136 0.5885 1
Dy7 0.0908 0.1816 0.3894 1
Dy8 0.9092 0.8184 0.6106 1
Dy9 0.7068 0.4136 0.2500 1
Dy10 0.2932 0.5864 0.4115 1
Tl1 0.0990 0.1980 0.8660 1
Tl2 0.9010 0.8020 0.1340 1
Tl3 0.0990 0.1980 0.6340 1
Tl4 0.9010 0.8020 0.3660 1
C1 0.8107 0.6214 0.7500 1
C2 0.1893 0.3786 0.2500 1
# **V**: 31.383 Å³/atom
# **ΔE_f**: 0.06 eV/atom
# **E_tot**: -4.563 eV per atom
# **Total magnetization**: 0.00 μB/f.u.